Below is a crystal of MgTaCd2B relaxed with PBEsol, with properties calculated at the meta-GGA SCAN level.

Results
- VASP energy (eV per atom) = -26.866
- space group = P4/mmm, No. 123

```
data_MgTaCd2B
_chemical_formula_sum 'Mg1 Ta1 Cd2 B1'
_cell_length_a 4.190
_cell_length_b 5.358
_cell_length_c 5.358
_cell_angle_alpha 90.00
_cell_angle_beta 90.00
_cell_angle_gamma 90.00
_space_group_name_H-M_alt 'P 1'
_space_group_IT_number 1
loop_
_space_group_symop_operation_xyz
'x,y,z'
loop_
_atom_site_label
_atom_site_fract_x
_atom_site_fract_y
_atom_site_fract_z
_atom_site_occupancy
Cd1 0.000 0.500 0.000 1
Cd2 0.000 0.000 0.500 1
Ta1 0.000 0.000 0.000 1
B1 0.500 0.000 0.000 1
Mg1 0.500 0.500 0.500 1
```

Below is a crystal of Al4Ag3 relaxed with PBEsol, with properties calculated at the meta-GGA SCAN level.

Results
- energy above the lowest structure with this stoichiometry (kJ per mole of atoms) = 3.5
- space group = Cm, No. 8

```
data_Al4Ag3
_chemical_formula_sum 'Al4 Ag3'
_cell_length_a 3.935
_cell_length_b 5.075
_cell_length_c 6.303
_cell_angle_alpha 100.19
_cell_angle_beta 90.00
_cell_angle_gamma 112.81
_space_group_name_H-M_alt 'P 1'
_space_group_IT_number 1
loop_
_space_group_symop_operation_xyz
'x,y,z'
loop_
_atom_site_label
_atom_site_fract_x
_atom_site_fract_y
_atom_site_fract_z
_atom_site_occupancy
Al1 0.440 0.880 0.286 1
Al2 0.565 0.130 0.718 1
Al3 0.279 0.558 0.862 1
Al4 0.857 0.713 0.564 1
Ag1 0.988 0.976 0.993 1
Ag2 0.151 0.303 0.440 1
Ag3 0.717 0.434 0.138 1
```

Below is a crystal of TaReMo relaxed with PBEsol, with properties calculated at the meta-GGA SCAN level.

Results
- VASP energy (eV per atom) = -57.781
- space group = I4mm, No. 107

```
data_TaReMo
_chemical_formula_sum 'Ta1 Re1 Mo1'
_cell_length_a 3.155
_cell_length_b 3.155
_cell_length_c 5.250
_cell_angle_alpha 107.49
_cell_angle_beta 107.49
_cell_angle_gamma 90.00
_space_group_name_H-M_alt 'P 1'
_space_group_IT_number 1
loop_
_space_group_symop_operation_xyz
'x,y,z'
loop_
_atom_site_label
_atom_site_fract_x
_atom_site_fract_y
_atom_site_fract_z
_atom_site_occupancy
Mo1 0.997 0.997 0.995 1
Ta1 0.667 0.667 0.335 1
Re1 0.335 0.335 0.670 1
```

Below is a crystal of Tb4CeS7 relaxed with PBEsol, with properties calculated at the meta-GGA SCAN level.

Results
- E_form (uncorrected) (kJ/mol of atoms) = -224.0
- space group = Cm, No. 8

```
data_Tb4CeS7
_chemical_formula_sum 'Tb4 Ce1 S7'
_cell_length_a 3.790
_cell_length_b 6.704
_cell_length_c 11.537
_cell_angle_alpha 104.22
_cell_angle_beta 90.00
_cell_angle_gamma 106.42
_space_group_name_H-M_alt 'P 1'
_space_group_IT_number 1
loop_
_space_group_symop_operation_xyz
'x,y,z'
loop_
_atom_site_label
_atom_site_fract_x
_atom_site_fract_y
_atom_site_fract_z
_atom_site_occupancy
Tb1 0.300 0.600 0.186 1
Tb2 0.000 0.000 0.998 1
Tb3 0.886 0.772 0.581 1
Tb4 0.699 0.399 0.812 1
S1 0.340 0.681 0.950 1
S2 0.042 0.085 0.784 1
S3 0.745 0.489 0.349 1
S4 0.262 0.523 0.654 1
S5 0.497 0.995 0.504 1
S6 0.659 0.317 0.050 1
S7 0.957 0.913 0.212 1
Ce1 0.113 0.226 0.422 1
```

Below is a crystal of TiNO2 relaxed with PBEsol, with properties calculated at the meta-GGA SCAN level.

Results
- E_form (uncorrected) (kJ/mol of atoms) = 73.4
- space group = R-3m, No. 166

```
data_TiNO2
_chemical_formula_sum 'Ti1 N1 O2'
_cell_length_a 2.865
_cell_length_b 2.865
_cell_length_c 6.027
_cell_angle_alpha 76.25
_cell_angle_beta 76.25
_cell_angle_gamma 60.00
_space_group_name_H-M_alt 'P 1'
_space_group_IT_number 1
loop_
_space_group_symop_operation_xyz
'x,y,z'
loop_
_atom_site_label
_atom_site_fract_x
_atom_site_fract_y
_atom_site_fract_z
_atom_site_occupancy
Ti1 0.000 0.000 0.000 1
O1 0.891 0.891 0.328 1
O2 0.109 0.109 0.672 1
N1 0.500 0.500 0.500 1
```

Below is a crystal of InMo2Ru relaxed with PBEsol, with properties calculated at the meta-GGA SCAN level.

Results
- VASP energy (eV per atom) = -34.209
- space group = Cm, No. 8

```
data_InMo2Ru
_chemical_formula_sum 'In1 Mo2 Ru1'
_cell_length_a 2.843
_cell_length_b 4.882
_cell_length_c 4.925
_cell_angle_alpha 102.01
_cell_angle_beta 106.77
_cell_angle_gamma 90.00
_space_group_name_H-M_alt 'P 1'
_space_group_IT_number 1
loop_
_space_group_symop_operation_xyz
'x,y,z'
loop_
_atom_site_label
_atom_site_fract_x
_atom_site_fract_y
_atom_site_fract_z
_atom_site_occupancy
In1 0.244 0.744 0.488 1
Mo1 0.010 0.029 0.020 1
Mo2 0.759 0.254 0.518 1
Ru1 0.487 0.473 0.974 1
```

Below is a crystal of Rb2YInCl6 relaxed with PBEsol, with properties calculated at the meta-GGA SCAN level.

Results
- E_form (uncorrected) (kJ/mol of atoms) = -198.3
- space group = Fm-3m, No. 225

```
data_Rb2YInCl6
_chemical_formula_sum 'Rb2 Y1 In1 Cl6'
_cell_length_a 7.864
_cell_length_b 7.864
_cell_length_c 7.864
_cell_angle_alpha 60.00
_cell_angle_beta 60.00
_cell_angle_gamma 60.00
_space_group_name_H-M_alt 'P 1'
_space_group_IT_number 1
loop_
_space_group_symop_operation_xyz
'x,y,z'
loop_
_atom_site_label
_atom_site_fract_x
_atom_site_fract_y
_atom_site_fract_z
_atom_site_occupancy
Cl1 0.234 0.766 0.766 1
Cl2 0.234 0.766 0.234 1
Cl3 0.234 0.234 0.766 1
Cl4 0.766 0.234 0.234 1
Cl5 0.766 0.766 0.234 1
Cl6 0.766 0.234 0.766 1
Rb1 0.750 0.750 0.750 1
Rb2 0.250 0.250 0.250 1
Y1 0.000 0.000 0.000 1
In1 0.500 0.500 0.500 1
```

Below is a crystal of Sc16O15 relaxed with PBEsol, with properties calculated at the meta-GGA SCAN level.

Results
- E_form (uncorrected) (kJ/mol of atoms) = -294.6
- space group = R-3m, No. 166

```
data_Sc16O15
_chemical_formula_sum 'Sc16 O15'
_cell_length_a 6.254
_cell_length_b 6.254
_cell_length_c 10.840
_cell_angle_alpha 73.24
_cell_angle_beta 73.24
_cell_angle_gamma 60.00
_space_group_name_H-M_alt 'P 1'
_space_group_IT_number 1
loop_
_space_group_symop_operation_xyz
'x,y,z'
loop_
_atom_site_label
_atom_site_fract_x
_atom_site_fract_y
_atom_site_fract_z
_atom_site_occupancy
O1 0.251 0.251 0.749 1
O2 0.751 0.751 0.748 1
O3 0.251 0.749 0.749 1
O4 0.000 0.500 0.500 1
O5 0.500 0.500 0.500 1
O6 0.749 0.251 0.251 1
O7 0.249 0.249 0.252 1
O8 0.749 0.251 0.749 1
O9 0.500 0.000 0.000 1
O10 0.500 0.500 0.000 1
O11 0.251 0.749 0.251 1
O12 0.000 0.000 0.500 1
O13 0.500 0.000 0.500 1
O14 0.749 0.749 0.251 1
O15 0.000 0.500 0.000 1
Sc1 0.619 0.127 0.127 1
Sc2 0.375 0.375 0.875 1
Sc3 0.873 0.873 0.873 1
Sc4 0.376 0.376 0.374 1
Sc5 0.127 0.127 0.127 1
Sc6 0.381 0.873 0.873 1
Sc7 0.376 0.875 0.374 1
Sc8 0.624 0.624 0.626 1
Sc9 0.624 0.125 0.626 1
Sc10 0.125 0.125 0.626 1
Sc11 0.875 0.376 0.374 1
Sc12 0.873 0.381 0.873 1
Sc13 0.625 0.625 0.125 1
Sc14 0.875 0.875 0.374 1
Sc15 0.127 0.619 0.127 1
Sc16 0.125 0.624 0.626 1
```

Below is a crystal of Cs2PrAgCl6 relaxed with PBEsol, with properties calculated at the meta-GGA SCAN level.

Results
- E_form (uncorrected) (kJ/mol of atoms) = -199.2
- space group = Fm-3m, No. 225

```
data_Cs2PrAgCl6
_chemical_formula_sum 'Cs2 Pr1 Ag1 Cl6'
_cell_length_a 7.615
_cell_length_b 7.615
_cell_length_c 7.615
_cell_angle_alpha 60.00
_cell_angle_beta 60.00
_cell_angle_gamma 60.00
_space_group_name_H-M_alt 'P 1'
_space_group_IT_number 1
loop_
_space_group_symop_operation_xyz
'x,y,z'
loop_
_atom_site_label
_atom_site_fract_x
_atom_site_fract_y
_atom_site_fract_z
_atom_site_occupancy
Cl1 0.752 0.248 0.752 1
Cl2 0.248 0.752 0.752 1
Cl3 0.248 0.248 0.752 1
Cl4 0.752 0.248 0.248 1
Cl5 0.248 0.752 0.248 1
Cl6 0.752 0.752 0.248 1
Cs1 0.750 0.750 0.750 1
Cs2 0.250 0.250 0.250 1
Ag1 0.000 0.000 0.000 1
Pr1 0.500 0.500 0.500 1
```

Below is a crystal of Be2CoRe relaxed with PBEsol, with properties calculated at the meta-GGA SCAN level.

Results
- VASP energy (eV per atom) = -24.273
- space group = I-4m2, No. 119

```
data_Be2CoRe
_chemical_formula_sum 'Be2 Co1 Re1'
_cell_length_a 3.362
_cell_length_b 3.362
_cell_length_c 4.321
_cell_angle_alpha 112.89
_cell_angle_beta 112.89
_cell_angle_gamma 90.00
_space_group_name_H-M_alt 'P 1'
_space_group_IT_number 1
loop_
_space_group_symop_operation_xyz
'x,y,z'
loop_
_atom_site_label
_atom_site_fract_x
_atom_site_fract_y
_atom_site_fract_z
_atom_site_occupancy
Be1 0.000 0.000 0.000 1
Be2 0.750 0.250 0.500 1
Re1 0.250 0.750 0.500 1
Co1 0.500 0.500 0.000 1
```

Below is a crystal of YZnRe2 relaxed with PBEsol, with properties calculated at the meta-GGA SCAN level.

Results
- VASP energy (eV per atom) = -45.748
- space group = Pm, No. 6

```
data_YZnRe2
_chemical_formula_sum 'Y1 Zn1 Re2'
_cell_length_a 2.968
_cell_length_b 4.328
_cell_length_c 5.391
_cell_angle_alpha 90.00
_cell_angle_beta 101.44
_cell_angle_gamma 90.00
_space_group_name_H-M_alt 'P 1'
_space_group_IT_number 1
loop_
_space_group_symop_operation_xyz
'x,y,z'
loop_
_atom_site_label
_atom_site_fract_x
_atom_site_fract_y
_atom_site_fract_z
_atom_site_occupancy
Zn1 0.097 0.500 0.750 1
Y1 0.514 0.000 0.528 1
Re1 0.784 0.500 0.184 1
Re2 0.105 0.000 0.038 1
```

Below is a crystal of BaTaCdC2 relaxed with PBEsol, with properties calculated at the meta-GGA SCAN level.

Results
- VASP energy (eV per atom) = -30.548
- space group = P4/mmm, No. 123

```
data_BaTaCdC2
_chemical_formula_sum 'Ba1 Ta1 Cd1 C2'
_cell_length_a 4.356
_cell_length_b 4.356
_cell_length_c 5.248
_cell_angle_alpha 90.00
_cell_angle_beta 90.00
_cell_angle_gamma 90.00
_space_group_name_H-M_alt 'P 1'
_space_group_IT_number 1
loop_
_space_group_symop_operation_xyz
'x,y,z'
loop_
_atom_site_label
_atom_site_fract_x
_atom_site_fract_y
_atom_site_fract_z
_atom_site_occupancy
C1 0.000 0.500 0.000 1
C2 0.500 0.000 0.000 1
Ta1 0.000 0.000 0.000 1
Cd1 0.000 0.000 0.500 1
Ba1 0.500 0.500 0.500 1
```